(1)
First-principles (GGA-PBE) data for LaPb3Br after structural relaxation, as listed in Alexandria via LeMat-Bulk.

abc: 5.684 5.684 5.684
angles: 90.00 90.00 90.00
Space group Pm-3m (No. 221)
One atom of each set of equivalent atoms:
La 0.000 0.000 0.000 [1 per cell]
Pb 0.000 0.500 0.500 [3 per cell]
Br 0.500 0.500 0.500 [1 per cell]

- density (g/cm³) = 7.6
- DOS(E_F) (states/eV per cell) = 5.42
- E_tot (eV per atom) = -3.42
- energy relative to the elements, uncorrected (meV/atom) = 130
- energy above the most stable polymorph in this dataset (meV/atom) = 0

(2)
First-principles (GGA-PBE) data for RbSrNbSe4 after structural relaxation, as listed in Alexandria via LeMat-Bulk.

abc: 7.252 7.273 9.577
angles: 90.00 107.58 90.00
Space group P2_1/m (No. 11)
One atom of each set of equivalent atoms:
Rb 0.229 0.250 0.434 [2 per cell]
Sr 0.271 0.250 0.951 [2 per cell]
Nb 0.286 0.750 0.182 [2 per cell]
Se 0.085 0.750 0.342 [2 per cell]
Se 0.094 0.750 0.929 [2 per cell]
Se 0.494 0.510 0.773 [4 per cell]

- density (g/cm³) = 4.0
- DOS(E_F) (states/eV per cell) = 0.00
- E_tot (eV per atom) = -5.08
- energy relative to the elements, uncorrected (meV/atom) = -1275

(3)
First-principles (GGA-PBE) data for KNaGa2Pt after structural relaxation, as listed in Alexandria via LeMat-Bulk.

abc: 4.880 4.880 6.087
angles: 90.00 90.00 90.00
Space group P4/mmm (No. 123)
One atom of each set of equivalent atoms:
K 0.000 0.000 0.000 [1 per cell]
Na 0.500 0.500 0.000 [1 per cell]
Ga 0.000 0.500 0.500 [2 per cell]
Pt 0.000 0.000 0.500 [1 per cell]

- density (g/cm³) = 4.5
- DOS(E_F) (states/eV per cell) = 2.62
- E_tot (eV per atom) = -3.09
- energy above the most stable polymorph in this dataset (meV/atom) = 146
- energy relative to the elements (meV/atom) = -184.1

(4)
First-principles (GGA-PBE) data for NaZnIr after structural relaxation, as listed in Alexandria via LeMat-Bulk.

abc: 4.299 4.299 6.691
angles: 90.00 90.00 90.00
Space group P4/nmm (No. 129, origin choice 2)
One atom of each set of equivalent atoms:
Na 0.250 0.250 0.177 [2 per cell]
Zn 0.250 0.250 0.690 [2 per cell]
Ir 0.250 0.750 0.500 [2 per cell]

- density (g/cm³) = 7.5
- DOS(E_F) (states/eV per cell) = 4.57
- E_tot (eV per atom) = -3.67
- energy relative to the elements (meV/atom) = 147.8

(5)
First-principles (GGA-PBE) data for SrTcPS2 after structural relaxation, as listed in Alexandria via LeMat-Bulk.

abc: 5.416 5.416 5.517
angles: 90.00 90.00 90.00
Space group P4/mmm (No. 123)
One atom of each set of equivalent atoms:
Sr 0.000 0.000 0.000 [1 per cell]
Tc 0.500 0.500 0.500 [1 per cell]
P 0.000 0.000 0.500 [1 per cell]
S 0.000 0.500 0.000 [2 per cell]

- density (g/cm³) = 2.9
- DOS(E_F) (states/eV per cell) = 4.84
- E_tot (eV per atom) = -3.85
- energy relative to the elements, uncorrected (meV/atom) = 1296
- energy above the most stable polymorph in this dataset (meV/atom) = 1838

(6)
First-principles (GGA-PBE) data for Mg2ReRu after structural relaxation, as listed in Alexandria via LeMat-Bulk.

abc: 3.016 4.658 9.315
angles: 90.00 90.00 90.00
Space group Imm2 (No. 44)
One atom of each set of equivalent atoms:
Mg 0.000 0.000 0.000 [2 per cell]
Mg 0.000 0.500 0.219 [2 per cell]
Re 0.000 0.500 0.759 [2 per cell]
Ru 0.000 0.000 0.473 [2 per cell]

- density (g/cm³) = 8.5
- DOS(E_F) (states/eV per cell) = 6.96
- E_tot (eV per atom) = -5.99
- energy above the most stable polymorph in this dataset (meV/atom) = 231
- energy relative to the elements (meV/atom) = 242.8

(7)
First-principles (GGA-PBE) data for BeNO2F after structural relaxation, as listed in Alexandria via LeMat-Bulk.

abc: 3.879 3.879 3.406
angles: 90.00 90.00 90.00
Space group P4/mmm (No. 123)
One atom of each set of equivalent atoms:
Be 0.000 0.000 0.000 [1 per cell]
N 0.500 0.500 0.000 [1 per cell]
O 0.000 0.500 0.500 [2 per cell]
F 0.500 0.500 0.500 [1 per cell]

- density (g/cm³) = 2.4
- DOS(E_F) (states/eV per cell) = 2.15
- E_tot (eV per atom) = -2.95
- energy relative to the elements, uncorrected (meV/atom) = 1820

(8)
First-principles (GGA-PBE) data for Sm2Dy3Tm3 after structural relaxation, as listed in Alexandria via LeMat-Bulk.

abc: 5.012 5.015 20.010
angles: 90.00 90.00 90.00
Space group Immm (No. 71)
One atom of each set of equivalent atoms:
Sm 0.000 0.000 0.250 [4 per cell]
Dy 0.000 0.000 0.000 [2 per cell]
Dy 0.000 0.500 0.123 [4 per cell]
Tm 0.000 0.000 0.500 [2 per cell]
Tm 0.000 0.500 0.377 [4 per cell]

- density (g/cm³) = 8.6
- DOS(E_F) (states/eV per cell) = 22.71
- E_tot (eV per atom) = -4.56
- energy above the most stable polymorph in this dataset (meV/atom) = 0
- energy relative to the elements (meV/atom) = 23.1

(9)
First-principles (GGA-PBE) data for SrPdNCl2 after structural relaxation, as listed in Alexandria via LeMat-Bulk.

abc: 4.703 4.703 6.009
angles: 90.00 90.00 90.00
Space group P4/mmm (No. 123)
One atom of each set of equivalent atoms:
Sr 0.000 0.000 0.000 [1 per cell]
Pd 0.000 0.000 0.500 [1 per cell]
N 0.500 0.500 0.000 [1 per cell]
Cl 0.000 0.500 0.500 [2 per cell]

- density (g/cm³) = 3.5
- DOS(E_F) (states/eV per cell) = 4.00
- E_tot (eV per atom) = -3.67
- energy relative to the elements, uncorrected (meV/atom) = 112

(10)
First-principles (GGA-PBE) data for Pu3N after structural relaxation, as listed in Alexandria via LeMat-Bulk.

abc: 3.047 3.196 8.364
angles: 90.00 90.00 90.00
Space group Pmm2 (No. 25)
One atom of each set of equivalent atoms:
Pu 0.000 0.000 0.000 [1 per cell]
Pu 0.000 0.500 0.345 [1 per cell]
Pu 0.500 0.500 0.696 [1 per cell]
N 0.500 0.000 0.224 [1 per cell]

- density (g/cm³) = 15.2
- DOS(E_F) (states/eV per cell) = 14.82
- E_tot (eV per atom) = -13.10
- energy relative to the elements, uncorrected (meV/atom) = -265
- energy above the most stable polymorph in this dataset (meV/atom) = 0

(11)
First-principles (GGA-PBE) data for CaCr2Au after structural relaxation, as listed in Alexandria via LeMat-Bulk.

abc: 5.928 9.980 3.147
angles: 90.00 119.01 90.00
Space group C2/m (No. 12)
One atom of each set of equivalent atoms:
Ca 0.000 0.000 0.000 [2 per cell]
Cr 0.250 0.250 0.500 [4 per cell]
Au 0.000 0.500 0.000 [2 per cell]

- density (g/cm³) = 7.0
- DOS(E_F) (states/eV per cell) = 7.49
- E_tot (eV per atom) = -5.57
- energy above the most stable polymorph in this dataset (meV/atom) = 424
- energy relative to the elements (meV/atom) = 558.2

(12)
First-principles (GGA-PBE) data for TiFe3Cu after structural relaxation, as listed in Alexandria via LeMat-Bulk.

abc: 4.284 4.284 4.284
angles: 90.00 90.00 90.00
Space group Pm-3m (No. 221)
One atom of each set of equivalent atoms:
Ti 0.000 0.000 0.000 [1 per cell]
Fe 0.000 0.000 0.500 [3 per cell]
Cu 0.500 0.500 0.500 [1 per cell]

- density (g/cm³) = 5.9
- DOS(E_F) (states/eV per cell) = 6.03
- E_tot (eV per atom) = -6.24
- energy above the most stable polymorph in this dataset (meV/atom) = 253
- energy relative to the elements (meV/atom) = 1235.9